Record 1
Here is crystalline AlRhW2 at its relaxed geometry from Alexandria. Energies are from PBE-GGA.

Cell and atoms, written as POSCAR:
```
AlRhW2
1.0
4.725 0.000 0.000
0.000 4.725 0.000
0.000 0.000 2.750
Rh Al W
1 1 2
Cartesian
0.000 2.363 1.375
2.363 0.000 1.375
0.000 0.000 0.000
2.363 2.363 0.000
```

formation energy	18.3	kJ/mol of atoms
total magnetization	0.00	μB per cell
space group	P4/mmm, No. 123



Record 2
Here is crystalline AlRhW2 at its relaxed geometry from Alexandria. Energies are from PBE-GGA.

Cell and atoms, written as POSCAR:
```
AlRhW2
1.0
4.411 0.000 0.000
0.000 3.720 0.000
0.000 0.000 3.720
Rh Al W
1 1 2
Cartesian
2.206 0.000 1.860
2.206 1.860 0.000
0.000 0.000 0.000
0.000 1.860 1.860
```

formation energy	-11.9	kJ/mol of atoms
total magnetization	0.00	μB per cell
space group	P4/mmm, No. 123



> The lowest formation energy belongs to which entry?

number 2